NaW2Au: optimized geometry, PBE.

Results
- DOS at the Fermi energy (states/eV/f.u.) = 3.5
- SG = No. 225
- energy relative to the elements (eV/atom) = 1.39
- crystal system = cubic

a b c (Å): 4.5729 4.5729 4.5729
angles (deg): 60.00 60.00 60.00
Sites, in units of the cell vectors:
Na (0.0000, 0.0000, 0.0000)
W (0.2500, 0.2500, 0.2500)
W (0.7500, 0.7500, 0.7500)
Au (0.5000, 0.5000, 0.5000)



CuTeHI2: optimized geometry, PBE.

Results
- DOS at the Fermi energy (states/eV/f.u.) = 5.2
- SG = No. 123
- VASP energy (eV/atom) = -2.07
- crystal system = tetragonal

a b c (Å): 5.5746 5.5746 5.0643
angles (deg): 90.00 90.00 90.00
Sites, in units of the cell vectors:
Cu (0.0000, 0.0000, 0.0000)
Te (0.0000, 0.0000, 0.5000)
H (0.5000, 0.5000, 0.5000)
I (0.0000, 0.5000, 0.0000)
I (0.5000, 0.0000, 0.0000)



BaSi: optimized geometry, PBE.

Results
- DOS at the Fermi energy (states/eV/f.u.) = 2.6
- SG = No. 166
- crystal system = trigonal
- ΔE_f (raw) (eV per formula unit) = 0.46

a b c (Å): 5.3848 5.3848 5.3848
angles (deg): 46.16 46.16 46.16
Sites, in units of the cell vectors:
Ba (0.0000, 0.0000, 0.0000)
Si (0.5000, 0.5000, 0.5000)



Th3Zn2Pt4: optimized geometry, PBE.

Results
- DOS at the Fermi energy (states/eV/f.u.) = 6.6
- SG = No. 12
- energy relative to the elements (eV/atom) = -1.01
- crystal system = monoclinic

a b c (Å): 6.1381 6.1381 8.8228
angles (deg): 114.90 114.90 40.89
Sites, in units of the cell vectors:
Th (0.0000, 0.0000, 0.0000)
Th (0.3601, 0.3601, 0.3072)
Th (0.6399, 0.6399, 0.6928)
Zn (0.3344, 0.3344, 0.6618)
Zn (0.6656, 0.6656, 0.3382)
Pt (0.0700, 0.0700, 0.3988)
Pt (0.2972, 0.2972, 0.9331)
Pt (0.7028, 0.7028, 0.0669)
Pt (0.9300, 0.9300, 0.6012)



Sr3CaCu4O8: optimized geometry, PBE.

Results
- DOS at the Fermi energy (states/eV/f.u.) = 5.2
- SG = No. 47
- crystal system = orthorhombic
- ΔE_f (raw) (eV per formula unit) = -27.54

a b c (Å): 3.4141 3.9370 15.7133
angles (deg): 90.00 90.00 90.00
Sites, in units of the cell vectors:
Sr (0.0000, 0.0000, 0.0000)
Sr (0.0000, 0.0000, 0.2526)
Sr (0.0000, 0.0000, 0.7474)
Ca (0.0000, 0.0000, 0.5000)
Cu (0.5000, 0.5000, 0.1262)
Cu (0.5000, 0.5000, 0.3776)
Cu (0.5000, 0.5000, 0.6224)
Cu (0.5000, 0.5000, 0.8738)
O (0.5000, 0.0000, 0.1268)
O (0.5000, 0.0000, 0.3824)
O (0.5000, 0.0000, 0.6176)
O (0.5000, 0.0000, 0.8732)
O (0.5000, 0.5000, 0.0000)
O (0.5000, 0.5000, 0.2528)
O (0.5000, 0.5000, 0.5000)
O (0.5000, 0.5000, 0.7472)



Sr2AlIn2Hg4: optimized geometry, PBE.

Results
- DOS at the Fermi energy (states/eV/f.u.) = 6.5
- SG = No. 139
- energy relative to the elements (eV/atom) = -0.28
- crystal system = tetragonal

a b c (Å): 7.0623 7.0623 7.0623
angles (deg): 119.99 119.99 90.02
Sites, in units of the cell vectors:
Sr (0.2500, 0.7500, 0.5000)
Sr (0.7500, 0.2500, 0.5000)
Al (0.0000, 0.0000, 0.0000)
In (0.2909, 0.2909, 0.0000)
In (0.7091, 0.7091, 0.0000)
Hg (0.2714, 0.2714, 0.5428)
Hg (0.2714, 0.7286, 0.0000)
Hg (0.7286, 0.2714, 0.0000)
Hg (0.7286, 0.7286, 0.4572)



OsWSe: optimized geometry, PBE.

Results
- DOS at the Fermi energy (states/eV/f.u.) = 2.7
- SG = No. 42
- crystal system = orthorhombic
- ΔE_f (raw) (eV per formula unit) = 2.16

a b c (Å): 7.4778 7.2515 2.8148
angles (deg): 83.54 74.49 21.96
Sites, in units of the cell vectors:
Os (0.0000, 0.0000, 0.0000)
W (0.3540, 0.3540, 0.6460)
Se (0.6944, 0.6944, 0.3056)



MgBiNO2: optimized geometry, PBE.

Results
- DOS at the Fermi energy (states/eV/f.u.) = 2.5
- SG = No. 123
- crystal system = tetragonal
- ΔE_f (raw) (eV per formula unit) = -1.66

a b c (Å): 3.9143 3.9143 4.1180
angles (deg): 90.00 90.00 90.00
Sites, in units of the cell vectors:
Mg (0.0000, 0.0000, 0.0000)
Bi (0.5000, 0.5000, 0.5000)
N (0.0000, 0.0000, 0.5000)
O (0.0000, 0.5000, 0.0000)
O (0.5000, 0.0000, 0.0000)



Er4NiBi2: optimized geometry, PBE.

Results
- DOS at the Fermi energy (states/eV/f.u.) = 4.0
- SG = No. 139
- energy relative to the elements (eV/atom) = -0.51
- crystal system = tetragonal

a b c (Å): 8.8826 8.8826 8.8826
angles (deg): 147.48 147.48 46.66
Sites, in units of the cell vectors:
Er (0.0000, 0.5000, 0.5000)
Er (0.1665, 0.1665, 0.0000)
Er (0.5000, 0.0000, 0.5000)
Er (0.8335, 0.8335, 0.0000)
Ni (0.0000, 0.0000, 0.0000)
Bi (0.3586, 0.3586, 0.0000)
Bi (0.6414, 0.6414, 0.0000)



YSc2Si4: optimized geometry, PBE.

Results
- DOS at the Fermi energy (states/eV/f.u.) = 2.8
- SG = No. 71
- crystal system = orthorhombic
- ΔE_f (raw) (eV per formula unit) = -5.18

a b c (Å): 8.9201 8.9201 8.9201
angles (deg): 155.53 153.88 36.09
Sites, in units of the cell vectors:
Y (0.0000, 0.0000, 0.0000)
Sc (0.1834, 0.6834, 0.5000)
Sc (0.8166, 0.3166, 0.5000)
Si (0.3443, 0.8443, 0.5000)
Si (0.4310, 0.4310, 0.0000)
Si (0.5690, 0.5690, 0.0000)
Si (0.6557, 0.1557, 0.5000)



Dy6Tl3Tc: optimized geometry, PBE.

Results
- DOS at the Fermi energy (states/eV/f.u.) = 8.0
- SG = No. 12
- energy relative to the elements (eV/atom) = -0.07
- crystal system = monoclinic

a b c (Å): 6.7647 6.7647 7.4374
angles (deg): 100.66 100.66 63.05
Sites, in units of the cell vectors:
Dy (0.1308, 0.6439, 0.6529)
Dy (0.3382, 0.3382, 0.1539)
Dy (0.3561, 0.8692, 0.3471)
Dy (0.6439, 0.1308, 0.6529)
Dy (0.6618, 0.6618, 0.8461)
Dy (0.8692, 0.3561, 0.3471)
Tl (0.0000, 0.0000, 0.0000)
Tl (0.1726, 0.1726, 0.7340)
Tl (0.8274, 0.8274, 0.2660)
Tc (0.5000, 0.5000, 0.5000)



MnTc3Ge6: optimized geometry, PBE.

Results
- DOS at the Fermi energy (states/eV/f.u.) = 5.2
- SG = No. 14
- energy relative to the elements (eV/atom) = 0.10
- crystal system = monoclinic

a b c (Å): 5.7537 6.7939 9.1933
angles (deg): 90.00 116.00 90.00
Sites, in units of the cell vectors:
Mn (0.0000, 0.0000, 0.0000)
Mn (0.0000, 0.5000, 0.5000)
Tc (0.1769, 0.1338, 0.7288)
Tc (0.1769, 0.3662, 0.2288)
Tc (0.5000, 0.0000, 0.5000)
Tc (0.5000, 0.5000, 0.0000)
Tc (0.8231, 0.6338, 0.7712)
Tc (0.8231, 0.8662, 0.2712)
Ge (0.0531, 0.1747, 0.4218)
Ge (0.0531, 0.3253, 0.9218)
Ge (0.2883, 0.6713, 0.4301)
Ge (0.2883, 0.8287, 0.9301)
Ge (0.4056, 0.0402, 0.2126)
Ge (0.4056, 0.4598, 0.7126)
Ge (0.5944, 0.5402, 0.2874)
Ge (0.5944, 0.9598, 0.7874)
Ge (0.7117, 0.1713, 0.0699)
Ge (0.7117, 0.3287, 0.5699)
Ge (0.9469, 0.6747, 0.0782)
Ge (0.9469, 0.8253, 0.5782)



Pa2Ir3Ru3: optimized geometry, PBE.

Results
- DOS at the Fermi energy (states/eV/f.u.) = 10.2
- SG = No. 47
- energy relative to the elements (eV/atom) = -0.64
- crystal system = orthorhombic

a b c (Å): 4.0681 4.0898 8.0755
angles (deg): 90.00 90.00 90.00
Sites, in units of the cell vectors:
Pa (0.0000, 0.0000, 0.2471)
Pa (0.0000, 0.0000, 0.7529)
Ir (0.0000, 0.5000, 0.5000)
Ir (0.5000, 0.5000, 0.2513)
Ir (0.5000, 0.5000, 0.7487)
Ru (0.0000, 0.5000, 0.0000)
Ru (0.5000, 0.0000, 0.0000)
Ru (0.5000, 0.0000, 0.5000)



LaTmAg: optimized geometry, PBE.

Results
- DOS at the Fermi energy (states/eV/f.u.) = 4.5
- SG = No. 70
- energy relative to the elements (eV/atom) = 0.06
- crystal system = orthorhombic

a b c (Å): 9.0004 8.6810 7.1909
angles (deg): 68.35 63.70 47.95
Sites, in units of the cell vectors:
La (0.0124, 0.0124, 0.2376)
La (0.2376, 0.2376, 0.0124)
La (0.7624, 0.7624, 0.9876)
La (0.9876, 0.9876, 0.7624)
Tm (0.2523, 0.2523, 0.4977)
Tm (0.4977, 0.4977, 0.2523)
Tm (0.5023, 0.5023, 0.7477)
Tm (0.7477, 0.7477, 0.5023)
Ag (0.1446, 0.6054, 0.1446)
Ag (0.3946, 0.8554, 0.3946)
Ag (0.6054, 0.1446, 0.6054)
Ag (0.8554, 0.3946, 0.8554)



Cs2TePtCl6: optimized geometry, PBE.

Results
- DOS at the Fermi energy (states/eV/f.u.) = 2.9
- SG = No. 139
- crystal system = tetragonal
- ΔE_f (raw) (eV per formula unit) = -10.08

a b c (Å): 7.5143 7.5143 7.5143
angles (deg): 119.62 119.62 90.66
Sites, in units of the cell vectors:
Cs (0.2500, 0.7500, 0.5000)
Cs (0.7500, 0.2500, 0.5000)
Te (0.0000, 0.0000, 0.0000)
Pt (0.5000, 0.5000, 0.0000)
Cl (0.2612, 0.2612, 0.0000)
Cl (0.2697, 0.2697, 0.5394)
Cl (0.2697, 0.7303, 0.0000)
Cl (0.7303, 0.2697, 0.0000)
Cl (0.7303, 0.7303, 0.4606)
Cl (0.7388, 0.7388, 0.0000)